The following is a meta-GGA SCAN calculation of a crystal of BeWSeBr2 relaxed with PBEsol, from Alexandria via LeMat-Bulk.

Values from the calculation:
**Mass density**: 5.8 g/cm3
**V**: 123.8 Å³/cell
**M_tot**: 1.1 μB/f.u.
**Total DFT energy (no corrections)**: -25.819 eV/atom
**E_form (uncorrected)**: 0.789 eV/atom

CIF file:
```
data_BeWSeBr2
_space_group_name_H-M_alt 'P 4/m m m'
_space_group_IT_number 123
_space_group_name_Hall '-P 4 2'
_cell_length_a 5.075
_cell_length_b 5.075
_cell_length_c 4.807
_cell_angle_alpha 90.00
_cell_angle_beta 90.00
_cell_angle_gamma 90.00
loop_
_atom_site_label
_atom_site_fract_x
_atom_site_fract_y
_atom_site_fract_z
Be1 0.000 0.000 0.000
W1 0.500 0.500 0.500
Se1 0.500 0.500 0.000
Br1 0.000 0.500 0.500
```